The following is a DFT calculation (PBE) of a geometry-optimized Ca3Hg4Pd2 structure.

Its formation energy is -11.74 kcal/mol of atoms. The calculation puts the total magnetic moment at 0.00 μB per formula unit. The total DFT energy (no corrections) is -2.46 eV per atom.

The space group is C2/m (No. 12) and the conventional cell measures 9.770, 5.035 and 8.922 Å, with angles of 90.00, 99.75 and 90.00 degrees. The distinct sites, in fractional coordinates, are Ca at (0.000, 0.000, 0.000), Ca at (0.124, 0.500, 0.702), Hg at (0.068, 0.000, 0.359), Hg at (0.189, 0.500, 0.079) and Pd at (0.213, 0.500, 0.394).

***

The following is a DFT calculation (PBE) of a geometry-optimized Re2HgRh2 structure.

Its formation energy is 7.10 kcal/mol of atoms. The calculation puts the total magnetic moment at 0.00 μB per formula unit. The total DFT energy (no corrections) is -7.67 eV per atom.

The space group is P4/mbm (No. 127) and the conventional cell measures 7.741, 7.741 and 2.755 Å, with angles of 90.00, 90.00 and 90.00 degrees. The distinct sites, in fractional coordinates, are Re at (0.119, 0.381, 0.000), Hg at (0.000, 0.000, 0.000) and Rh at (0.168, 0.668, 0.500).

***

The following is a DFT calculation (PBE) of a geometry-optimized BiRuAuF2 structure.

Its formation energy from raw total energies is -11 kJ/mol of formula units. The calculation puts the total magnetic moment at 0.00 μB per formula unit. The total DFT energy (no corrections) is -4.06 eV per atom.

The space group is P4/mmm (No. 123) and the conventional cell measures 4.126, 4.126 and 5.660 Å, with angles of 90.00, 90.00 and 90.00 degrees. The distinct sites, in fractional coordinates, are Bi at (0.000, 0.000, 0.000), Ru at (0.500, 0.500, 0.000), Au at (0.500, 0.500, 0.500) and F at (0.000, 0.500, 0.500).

***

The following is a DFT calculation (PBE) of a geometry-optimized PrGdYCd structure.

Its formation energy is -0.94 kcal/mol of atoms. The calculation puts the total magnetic moment at 7.89 μB per formula unit. The total DFT energy (no corrections) is -6.60 eV per atom.

The space group is F-43m (No. 216) and the conventional cell measures 7.828, 7.828 and 7.828 Å, with angles of 90.00, 90.00 and 90.00 degrees. The distinct sites, in fractional coordinates, are Pr at (0.000, 0.000, 0.000), Gd at (0.250, 0.250, 0.250), Y at (0.000, 0.000, 0.500) and Cd at (0.250, 0.250, 0.750).

***

The following is a DFT calculation (PBE) of a geometry-optimized MgReSn3 structure.

Its formation energy is 9.02 kcal/mol of atoms. The calculation puts the total magnetic moment at 0.00 μB per formula unit. The total DFT energy (no corrections) is -4.82 eV per atom.

The space group is Pm-3m (No. 221) and the conventional cell measures 5.237, 5.237 and 5.237 Å, with angles of 90.00, 90.00 and 90.00 degrees. The distinct sites, in fractional coordinates, are Mg at (0.000, 0.000, 0.000), Re at (0.500, 0.500, 0.500) and Sn at (0.000, 0.500, 0.500).

***

The following is a DFT calculation (PBE) of a geometry-optimized Na2Pr3YSe6 structure.

Its formation energy from raw total energies is -2001 kJ/mol of formula units. The calculation puts the total magnetic moment at 0.00 μB per formula unit. The total DFT energy (no corrections) is -5.42 eV per atom.

The space group is C2/m (No. 12) and the conventional cell measures 7.328, 12.681 and 7.316 Å, with angles of 90.00, 109.40 and 90.00 degrees. The distinct sites, in fractional coordinates, are Na at (0.000, 0.166, 0.000), Pr at (0.000, 0.000, 0.500), Pr at (0.000, 0.330, 0.500), Y at (0.000, 0.500, 0.000), Se at (0.243, 0.500, 0.753) and Se at (0.244, 0.337, 0.241).

***

The following is a DFT calculation (PBE) of a geometry-optimized CeY4Rh3 structure.

Its formation energy is -14.80 kcal/mol of atoms. The calculation puts the total magnetic moment at 1.23 μB per formula unit. The total DFT energy (no corrections) is -7.37 eV per atom.

The space group is I4/mcm (No. 140) and the conventional cell measures 11.138, 11.138 and 6.043 Å, with angles of 90.00, 90.00 and 90.00 degrees. The distinct sites, in fractional coordinates, are Ce at (0.000, 0.500, 0.250), Y at (0.084, 0.209, 0.000), Rh at (0.000, 0.000, 0.250) and Rh at (0.155, 0.345, 0.500).

***

The following is a DFT calculation (PBE) of a geometry-optimized KAuI3 structure.

Its formation energy from raw total energies is -224 kJ/mol of formula units. The calculation puts the total magnetic moment at 0.00 μB per formula unit. The total DFT energy (no corrections) is -2.27 eV per atom.

The space group is Cmcm (No. 63) and the conventional cell measures 6.664, 14.241 and 9.429 Å, with angles of 90.00, 90.00 and 90.00 degrees. The distinct sites, in fractional coordinates, are K at (0.000, 0.013, 0.250), Au at (0.000, 0.390, 0.250), I at (0.000, 0.500, 0.000) and I at (0.238, 0.260, 0.750).

***

The following is a DFT calculation (PBE) of a geometry-optimized HoGaPt2 structure.

Its formation energy is -24.64 kcal/mol of atoms. The calculation puts the total magnetic moment at 0.00 μB per formula unit. The total DFT energy (no corrections) is -5.99 eV per atom.

The space group is Pnma (No. 62) and the conventional cell measures 7.283, 7.162 and 5.638 Å, with angles of 90.00, 90.00 and 90.00 degrees. The distinct sites, in fractional coordinates, are Ho at (0.026, 0.250, 0.145), Ga at (0.114, 0.750, 0.358) and Pt at (0.188, 0.050, 0.583).

***

The following is a DFT calculation (PBE) of a geometry-optimized BaCd2Mo structure.

Its formation energy is 10.56 kcal/mol of atoms. The calculation puts the total magnetic moment at 0.63 μB per formula unit. The total DFT energy (no corrections) is -3.19 eV per atom.

The space group is Pmmm (No. 47) and the conventional cell measures 3.183, 4.106 and 7.729 Å, with angles of 90.00, 90.00 and 90.00 degrees. The distinct sites, in fractional coordinates, are Ba at (0.000, 0.000, 0.000), Cd at (0.500, 0.500, 0.314) and Mo at (0.000, 0.000, 0.500).

***

The following is a DFT calculation (PBE) of a geometry-optimized SrTi2Cl structure.

Its formation energy from raw total energies is 365 kJ/mol of formula units. The calculation puts the total magnetic moment at 2.64 μB per formula unit. The total DFT energy (no corrections) is -3.88 eV per atom.

The space group is Fm-3m (No. 225) and the conventional cell measures 7.157, 7.157 and 7.157 Å, with angles of 90.00, 90.00 and 90.00 degrees. The distinct sites, in fractional coordinates, are Sr at (0.000, 0.000, 0.000), Ti at (0.250, 0.250, 0.250) and Cl at (0.000, 0.000, 0.500).

***

The following is a DFT calculation (PBE) of a geometry-optimized K3HoP2O8 structure.

Its formation energy from raw total energies is -3497 kJ/mol of formula units. The calculation puts the total magnetic moment at 0.00 μB per formula unit. The total DFT energy (no corrections) is -6.76 eV per atom.

The space group is P-3m1 (No. 164) and the conventional cell measures 5.6870, 5.6870 and 7.7793 Å, with angles of 90.00, 90.00 and 120.00 degrees. The distinct sites, in fractional coordinates, are K at (0.0000, 0.0000, 0.0000), K at (0.3333, 0.6667, 0.7329), Ho at (0.0000, 0.0000, 0.5000), P at (0.3333, 0.6667, 0.2593), O at (0.1845, 0.3690, 0.3316) and O at (0.3333, 0.6667, 0.0643).

***

The following is a DFT calculation (PBE) of a geometry-optimized Ac5CeRh4 structure.

Its formation energy is -13.90 kcal/mol of atoms. The calculation puts the total magnetic moment at 0.17 μB per formula unit. The total DFT energy (no corrections) is -6.19 eV per atom.

The space group is C2/m (No. 12) and the conventional cell measures 18.475, 4.283 and 8.325 Å, with angles of 90.00, 104.61 and 90.00 degrees. The distinct sites, in fractional coordinates, are Ac at (0.000, 0.000, 0.000), Ac at (0.162, 0.500, 0.830), Ac at (0.167, 0.500, 0.348), Ce at (0.000, 0.000, 0.500), Rh at (0.001, 0.500, 0.261) and Rh at (0.164, 0.000, 0.596).

***

The following is a DFT calculation (PBE) of a geometry-optimized TaRuRh2 structure.

Its formation energy is -9.32 kcal/mol of atoms. The calculation puts the total magnetic moment at 0.00 μB per formula unit. The total DFT energy (no corrections) is -9.36 eV per atom.

The space group is I4/mmm (No. 139) and the conventional cell measures 3.890, 3.890 and 7.862 Å, with angles of 90.00, 90.00 and 90.00 degrees. The distinct sites, in fractional coordinates, are Ta at (0.000, 0.000, 0.000), Ru at (0.000, 0.000, 0.500) and Rh at (0.000, 0.500, 0.250).

***

The following is a DFT calculation (PBE) of a geometry-optimized AcGd2Ga structure.

Its formation energy is 0.01 kcal/mol of atoms. The calculation puts the total magnetic moment at 15.74 μB per formula unit. The total DFT energy (no corrections) is -8.82 eV per atom.

The space group is Fm-3m (No. 225) and the conventional cell measures 7.823, 7.823 and 7.823 Å, with angles of 90.00, 90.00 and 90.00 degrees. The distinct sites, in fractional coordinates, are Ac at (0.000, 0.000, 0.000), Gd at (0.250, 0.250, 0.250) and Ga at (0.000, 0.000, 0.500).

***

The following is a DFT calculation (PBE) of a geometry-optimized Sr3Li2Ca structure.

Its formation energy is 0.56 kcal/mol of atoms. The calculation puts the total magnetic moment at 0.00 μB per formula unit. The total DFT energy (no corrections) is -1.79 eV per atom.

The space group is P4/mmm (No. 123) and the conventional cell measures 4.215, 4.215 and 13.990 Å, with angles of 90.00, 90.00 and 90.00 degrees. The distinct sites, in fractional coordinates, are Sr at (0.000, 0.000, 0.000), Sr at (0.000, 0.000, 0.303), Li at (0.500, 0.500, 0.153) and Ca at (0.500, 0.500, 0.500).

***

The following is a DFT calculation (PBE) of a geometry-optimized DyFeCl structure.

Its formation energy from raw total energies is -317 kJ/mol of formula units. The calculation puts the total magnetic moment at 0.95 μB per formula unit. The total DFT energy (no corrections) is -6.07 eV per atom.

The space group is Cm (No. 8) and the conventional cell measures 6.655, 3.842 and 11.243 Å, with angles of 90.00, 101.84 and 90.00 degrees. The distinct sites, in fractional coordinates, are Dy at (0.000, 0.000, 0.000), Dy at (0.125, 0.000, 0.361), Fe at (0.229, 0.500, 0.180), Fe at (0.396, 0.000, 0.180), Cl at (0.013, 0.500, 0.518) and Cl at (0.279, 0.000, 0.842).

***

The following is a DFT calculation (PBE) of a geometry-optimized Ac2PmSe3 structure.

Its formation energy from raw total energies is -1069 kJ/mol of formula units. The calculation puts the total magnetic moment at 0.00 μB per formula unit. The total DFT energy (no corrections) is -5.75 eV per atom.

The space group is Fddd (No. 70, origin choice 2) and the conventional cell measures 8.840, 12.388 and 25.976 Å, with angles of 90.00, 90.00 and 90.00 degrees. The distinct sites, in fractional coordinates, are Ac at (0.125, 0.125, 0.043), Ac at (0.125, 0.125, 0.374), Pm at (0.125, 0.125, 0.542), Se at (0.110, 0.375, 0.875) and Se at (0.118, 0.369, 0.711).

***

The following is a DFT calculation (PBE) of a geometry-optimized Ti6CuMo structure.

Its formation energy is -0.99 kcal/mol of atoms. The calculation puts the total magnetic moment at 0.00 μB per formula unit. The total DFT energy (no corrections) is -7.83 eV per atom.

The space group is I4/mmm (No. 139) and the conventional cell measures 4.339, 4.339 and 13.784 Å, with angles of 90.00, 90.00 and 90.00 degrees. The distinct sites, in fractional coordinates, are Ti at (0.000, 0.000, 0.245), Ti at (0.000, 0.500, 0.115), Cu at (0.000, 0.000, 0.500) and Mo at (0.000, 0.000, 0.000).

***

The following is a DFT calculation (PBE) of a geometry-optimized Y2InSn2 structure.

Its formation energy is -3.92 kcal/mol of atoms. The calculation puts the total magnetic moment at 0.00 μB per formula unit. The total DFT energy (no corrections) is -4.90 eV per atom.

The space group is I4/mmm (No. 139) and the conventional cell measures 5.273, 5.273 and 11.963 Å, with angles of 90.00, 90.00 and 90.00 degrees. The distinct sites, in fractional coordinates, are Y at (0.000, 0.500, 0.250), In at (0.000, 0.000, 0.000) and Sn at (0.000, 0.000, 0.384).